This record from the Alexandria database describes Ba2ReIBr after structural relaxation. The functional is PBE.

```
5
Lattice="6.1364 0.0000 0.0000 0.0000 4.9304 0.0000 0.0000 0.0000 6.1364" Properties=species:S:1:pos:R:3 pbc="T T T"
Ba 3.0682 0.0000 0.0000
Ba 0.0000 0.0000 3.0682
Br 0.0000 2.4652 0.0000
I 3.0682 2.4652 3.0682
Re 0.0000 0.0000 0.0000
```

Formation energy from raw total energies, eV per atom: -0.154
SG: No. 123


This record from the Alexandria database describes SrCaInTe2 after structural relaxation. The functional is PBE.

```
5
Lattice="6.1475 0.0000 0.0000 0.0000 5.8249 0.0000 0.0000 0.0000 6.1475" Properties=species:S:1:pos:R:3 pbc="T T T"
Sr 0.0000 0.0000 0.0000
In 0.0000 2.9125 0.0000
Te 3.0737 0.0000 0.0000
Te 0.0000 0.0000 3.0737
Ca 3.0737 2.9125 3.0737
```

Formation energy from raw total energies, eV per atom: -0.214
SG: No. 123


This record from the Alexandria database describes SmTh2Sc after structural relaxation. The functional is PBE.

```
4
Lattice="-2.1393 0.8473 -2.5349 -3.2752 0.7171 0.6921 1.0900 12.3006 0.8800" Properties=species:S:1:pos:R:3 pbc="T T T"
Th 0.3108 9.1298 0.4778
Th -4.6353 4.7352 -1.4406
Sm 0.0000 0.0000 0.0000
Sc -2.1623 6.9325 -0.4814
```

Energy of formation, eV per atom: 0.203
SG: No. 166
E above lowest polymorph, kJ per mole of atoms: 15.1


This record from the Alexandria database describes YFe3Bi after structural relaxation. The functional is PBE.

```
5
Lattice="-0.0033 4.4445 1.9662 -4.2849 -0.9304 2.0961 2.2933 -1.7321 3.9192" Properties=species:S:1:pos:R:3 pbc="T T T"
Fe -0.0016 2.2223 0.9831
Fe 1.1467 -0.8660 1.9596
Fe -2.1424 -0.4652 1.0481
Bi 0.0000 0.0000 0.0000
Y -0.9974 0.8910 3.9907
```

Energy of formation, eV per atom: 1.030
SG: No. 221
E above lowest polymorph, kJ per mole of atoms: 0.0


This record from the Alexandria database describes Cs2Si2Hg after structural relaxation. The functional is PBE.

```
5
Lattice="-4.5059 -4.7088 2.2195 4.0329 -1.3015 5.4262 -2.6593 0.5658 6.4801" Properties=species:S:1:pos:R:3 pbc="T T T"
Cs -3.7009 -3.5741 6.2612
Cs 0.5685 -1.8704 7.8646
Si -2.3856 -3.1913 9.7434
Si -0.7467 -2.2532 4.3824
Hg 0.0000 0.0000 0.0000
```

Formation energy from raw total energies, eV per atom: 0.155
SG: No. 139


This record from the Alexandria database describes Ce2NdHg7 after structural relaxation. The functional is PBE.

```
10
Lattice="5.1489 0.0000 0.0000 -2.5744 4.4591 0.0000 0.0000 0.0000 12.7408" Properties=species:S:1:pos:R:3 pbc="T T T"
Hg 0.0000 2.9727 5.6270
Hg 2.5744 1.4864 7.5723
Hg 0.0000 2.9727 12.0916
Hg 0.0000 0.0000 9.6345
Hg 2.5744 1.4864 1.3678
Hg 2.5744 1.4864 10.8145
Hg 0.0000 0.0000 3.3408
Ce 2.5744 1.4864 4.4751
Ce 0.0000 2.9727 8.8495
Nd 0.0000 0.0000 0.1423
```

Energy of formation, eV per atom: -0.196
SG: No. 156


This record from the Alexandria database describes Pm3CCl2 after structural relaxation. The functional is PBE.

```
6
Lattice="3.7251 0.0000 0.0000 0.0000 5.5189 0.0000 -1.8625 -2.7594 6.5511" Properties=species:S:1:pos:R:3 pbc="T T T"
C 0.9313 1.3797 3.2755
Pm 2.7938 1.3797 1.6271
Pm 0.9313 -1.3797 3.2755
Pm -0.9313 1.3797 4.9240
Cl 2.7938 4.1392 0.9515
Cl -0.9313 -1.3797 5.5995
```

Formation energy from raw total energies, eV per atom: -1.111
SG: No. 71


This record from the Alexandria database describes AgAsOs after structural relaxation. The functional is PBE.

```
3
Lattice="-2.5677 3.4047 0.3003 -4.2414 -0.4975 -0.1960 -2.3839 0.5771 3.5013" Properties=species:S:1:pos:R:3 pbc="T T T"
As -4.5964 1.7421 1.8028
Ag 0.0000 0.0000 0.0000
Os -2.2982 0.8711 0.9014
```

Energy of formation, eV per atom: 0.593
SG: No. 216
E above lowest polymorph, kJ per mole of atoms: 22.9


Number 1: final energy -4.06 eV/atom. Number 2: final energy -2.76 eV/atom. Number 3: final energy -6.27 eV/atom. Number 4: final energy -6.12 eV/atom. Number 5: final energy -2.42 eV/atom. Number 6: final energy -2.07 eV/atom. Number 7: final energy -5.64 eV/atom. Number 8: final energy -5.65 eV/atom.